VASP calculation (PBE) on a relaxed structure of Dy2Si3W2.

```
Dy2Si3W2
1.0
6.822 -1.805 0.000
6.822 1.805 0.000
-2.237 0.000 5.721
Dy Si W
2 3 2
Direct
0.095 0.095 0.264
0.905 0.905 0.736
0.238 0.238 0.719
0.500 0.500 0.500
0.762 0.762 0.281
0.347 0.347 0.141
0.653 0.653 0.859
```

---

VASP calculation (PBE) on a relaxed structure of Dy2YZn4Si4.

```
Dy2YZn4Si4
1.0
-2.009 2.047 12.295
2.009 -2.047 12.295
2.009 2.047 -12.295
Dy Y Zn Si
2 1 4 4
Direct
0.143 0.143 0.000
0.857 0.857 0.000
0.500 0.000 0.500
0.250 0.750 0.500
0.406 0.406 0.000
0.594 0.594 0.000
0.750 0.250 0.500
0.047 0.547 0.500
0.311 0.311 0.000
0.689 0.689 0.000
0.953 0.453 0.500
```

---

VASP calculation (PBE) on a relaxed structure of DyY2Zn4Si4.

```
DyY2Zn4Si4
1.0
-2.010 2.047 12.298
2.010 -2.047 12.298
2.010 2.047 -12.298
Dy Y Zn Si
1 2 4 4
Direct
0.000 0.000 0.000
0.357 0.857 0.500
0.643 0.143 0.500
0.094 0.594 0.500
0.250 0.250 0.000
0.750 0.750 0.000
0.906 0.406 0.500
0.189 0.689 0.500
0.453 0.453 0.000
0.547 0.547 0.000
0.811 0.311 0.500
```

---

VASP calculation (PBE) on a relaxed structure of DyYZn2Si2.

```
DyYZn2Si2
1.0
4.138 0.000 0.000
-2.069 3.584 0.000
0.000 0.000 15.817
Dy Y Zn Si
2 2 4 4
Direct
0.000 0.000 0.250
0.000 0.000 0.750
0.000 0.000 0.000
0.000 0.000 0.500
0.333 0.667 0.135
0.333 0.667 0.365
0.667 0.333 0.635
0.667 0.333 0.865
0.333 0.667 0.620
0.333 0.667 0.880
0.667 0.333 0.120
0.667 0.333 0.380
```

---

VASP calculation (PBE) on a relaxed structure of DyZr3Si4.

```
DyZr3Si4
1.0
5.421 0.000 0.000
0.000 3.797 0.000
-0.090 0.000 7.242
Dy Zr Si
1 3 4
Direct
0.000 0.000 0.000
0.255 0.000 0.501
0.498 0.500 0.149
0.750 0.500 0.641
0.011 0.500 0.292
0.243 0.500 0.775
0.511 0.000 0.860
0.735 0.000 0.368
```

---

VASP calculation (PBE) on a relaxed structure of Sm2Dy.

```
Sm2Dy
1.0
0.000 4.668 4.668
4.668 0.000 4.668
4.668 4.668 0.000
Sm Dy
4 2
Direct
0.000 0.000 0.000
0.000 0.000 0.500
0.000 0.500 0.000
0.500 0.000 0.000
0.375 0.375 0.375
0.625 0.625 0.625
```

Properties
Formation energy, eV/atom: 0.2581

---

VASP calculation (PBE) on a relaxed structure of SmDy2.

```
SmDy2
1.0
0.000 4.654 4.654
4.654 0.000 4.654
4.654 4.654 0.000
Sm Dy
2 4
Direct
0.125 0.125 0.125
0.875 0.875 0.875
0.000 0.500 0.500
0.500 0.000 0.500
0.500 0.500 0.000
0.500 0.500 0.500
```

Properties
Formation energy, eV/atom: 0.2788

---

VASP calculation (PBE) on a relaxed structure of SmDySn.

```
SmDySn
1.0
0.000 3.665 3.665
3.665 0.000 3.665
3.665 3.665 0.000
Sm Dy Sn
1 1 1
Direct
0.000 0.000 0.000
0.500 0.500 0.500
0.750 0.750 0.750
```

Properties
Excess energy over the best structure of this formula in the dataset, eV per atom: 0.000

---

no.,DFT total energy (eV per atom),volume (Å³/f.u.)
1,-7.395,140.9
2,-4.392,202.2
3,-4.565,202.5
4,-4.718,117.3
5,-7.368,149.0
6,-4.416,101.7
7,-4.359,100.8
8,-4.850,98.5